The following is a GGA+U calculation of an optimized crystal structure of SrFeI2O, from Alexandria.

Cell and atoms, written as POSCAR:
```
SrFeI2O
1.0
6.4476 0.0000 0.0000
0.0000 6.4476 0.0000
0.0000 0.0000 4.4677
Sr I O Fe
1 2 1 1
Cartesian
0.0000 0.0000 0.0000 Sr
3.2238 0.0000 0.0000 I
0.0000 3.2238 0.0000 I
0.0000 0.0000 2.2338 O
3.2238 3.2238 2.2338 Fe
```

Space group: P4/mmm (123)
Energy relative to the lowest polymorph listed for this composition: 725 meV/atom